[1]
Compound: BaNaCa6
Source: the Alexandria database
Functional: PBE
Structure: optimized geometry

Cell: 5.2802 5.2802 13.9521 Å, 90.00 90.00 90.00°
Closest atoms and distances in Å follow each position.
Space group P4/mmm (No. 123)
Symmetry-distinct sites (fractional):
1 Ba 0.0000 0.0000 0.0000 x1  8 Ca 4.16
2 Na 0.0000 0.0000 0.5000 x1  8 Ca 3.60
3 Ca 0.0000 0.5000 0.3242 x4  2 Na 3.60, 6 Ca 3.73-3.77
4 Ca 0.5000 0.5000 0.1314 x2  5 Ca 3.67-3.77

Computed properties:
total energy	-13.26	eV per formula unit
crystal system	tetragonal
total moment	0.00	μB per formula unit

=====

[2]
Compound: Zr2MnAs
Source: the Alexandria database
Functional: PBE
Structure: optimized geometry

Cell: 3.9048 3.9048 9.5990 Å, 90.00 90.00 90.00°
Closest atoms and distances in Å follow each position.
Space group I-4m2 (No. 119)
Symmetry-distinct sites (fractional):
1 Zr 0.0000 0.0000 0.0000 x2  4 Mn 2.76
2 Zr 0.0000 0.5000 0.2500 x2  4 As 2.76
3 Mn 0.0000 0.0000 0.5000 x2  4 Zr 2.76
4 As 0.0000 0.5000 0.7500 x2  4 Zr 2.76

Computed properties:
total energy	-32.27	eV per formula unit
crystal system	tetragonal
total moment	1.84	μB per formula unit

=====

[3]
Compound: CrMoPb2
Source: the Alexandria database
Functional: PBE
Structure: optimized geometry

Cell: 3.6013 4.6658 4.8376 Å, 90.00 90.00 90.00°
Closest atoms and distances in Å follow each position.
Space group Pmmm (No. 47)
Symmetry-distinct sites (fractional):
1 Cr 0.0000 0.0000 0.0000 x1  8 Pb 2.95-3.02
2 Mo 0.0000 0.5000 0.5000 x1  8 Pb 2.95-3.02
3 Pb 0.5000 0.0000 0.5000 x1  4 Mo 2.95, 4 Cr 3.02
4 Pb 0.5000 0.5000 0.0000 x1  4 Cr 2.95, 4 Mo 3.02

Computed properties:
total energy	-24.78	eV per formula unit
crystal system	orthorhombic
total moment	3.43	μB per formula unit

=====

[4]
Compound: La2YRu
Source: the Alexandria database
Functional: PBE
Structure: optimized geometry

Cell: 3.9405 3.9405 28.4396 Å, 90.00 90.00 120.00°
Closest atoms and distances in Å follow each position.
Space group R-3m (No. 166, hexagonal axes)
Symmetry-distinct sites (fractional):
1 La 0.0000 0.0000 0.2245 x6  3 Ru 2.81
2 Y 0.0000 0.0000 0.0000 x3  6 La 3.84, 6 Y 3.94
3 Ru 0.0000 0.0000 0.5000 x3  6 La 2.81

Computed properties:
total energy	-25.69	eV per formula unit
crystal system	trigonal
total moment	0.09	μB per formula unit

=====

[5]
Compound: Sm4YPb5
Source: the Alexandria database
Functional: PBE
Structure: optimized geometry

Cell: 10.1013 10.1013 6.3820 Å, 90.00 90.00 90.00°
Closest atoms and distances in Å follow each position.
Space group I4/m (No. 87)
Symmetry-distinct sites (fractional):
1 Sm 0.0986 0.6997 0.0000 x8  6 Pb 3.19-3.21
2 Y 0.0000 0.0000 0.5000 x2  6 Pb 3.17-3.19
3 Pb 0.0000 0.0000 0.0000 x2  2 Y 3.19, 4 Sm 3.19
4 Pb 0.1002 0.7022 0.5000 x8  1 Y 3.17, 5 Sm 3.19-3.21

Computed properties:
total energy	-47.77	eV per formula unit
crystal system	tetragonal
total moment	0.00	μB per formula unit

=====

[6]
Compound: Dy3PdO
Source: the Alexandria database
Functional: PBE
Structure: optimized geometry

Cell: 4.6950 4.6950 4.6950 Å, 90.00 90.00 90.00°
Closest atoms and distances in Å follow each position.
Space group Pm-3m (No. 221)
Symmetry-distinct sites (fractional):
1 Dy 0.0000 0.0000 0.5000 x3  2 O 2.35
2 Pd 0.5000 0.5000 0.5000 x1  12 Dy 3.32
3 O 0.0000 0.0000 0.0000 x1  6 Dy 2.35

Computed properties:
total energy	-30.89	eV per formula unit
crystal system	cubic
total moment	0.00	μB per formula unit
formation energy from raw total energies	-1.386	eV/atom

=====

[7]
Compound: NaMoH2
Source: the Alexandria database
Functional: PBE
Structure: optimized geometry

Cell: 5.3867 5.3867 5.3867 Å, 90.00 90.00 90.00°
Closest atoms and distances in Å follow each position.
Space group Fm-3m (No. 225)
Symmetry-distinct sites (fractional):
1 Na 0.0000 0.0000 0.0000 x4  8 H 2.33
2 Mo 0.0000 0.0000 0.5000 x4  8 H 2.33
3 H 0.2500 0.2500 0.2500 x8  4 Mo 2.33, 4 Na 2.33

Computed properties:
total energy	-14.81	eV per formula unit
crystal system	cubic
total moment	0.00	μB per formula unit

=====

[8]
Compound: Na2TaBe2
Source: the Alexandria database
Functional: PBE
Structure: optimized geometry

Cell: 7.6858 7.6858 2.8493 Å, 90.00 90.00 90.00°
Closest atoms and distances in Å follow each position.
Space group P4/mbm (No. 127)
Symmetry-distinct sites (fractional):
1 Na 0.1186 0.3814 0.0000 x4  2 Be 2.51, 1 Na 2.58
2 Ta 0.0000 0.0000 0.5000 x2  4 Be 2.79, 2 Ta 2.85
3 Be 0.1916 0.6916 0.5000 x4  2 Na 2.51, 2 Ta 2.79

Computed properties:
total energy	-16.70	eV per formula unit
crystal system	tetragonal
total moment	0.00	μB per formula unit

=====

[9]
Compound: DyTm2ScSe6
Source: the Alexandria database
Functional: PBE
Structure: optimized geometry

Cell: 7.0478 7.0478 19.1289 Å, 90.00 90.00 120.00°
Closest atoms and distances in Å follow each position.
Space group R3 (No. 146, hexagonal axes)
Symmetry-distinct sites (fractional):
1 Dy 0.0000 0.0000 0.0000 x3  6 Se 2.82-2.91
2 Tm 0.0000 0.0000 0.3038 x3  6 Se 2.82-2.86
3 Tm 0.0000 0.0000 0.8065 x3  6 Se 2.80-2.87
4 Sc 0.0000 0.0000 0.4966 x3  6 Se 2.72-2.76
5 Se 0.0012 0.6997 0.4042 x9  1 Sc 2.76, 2 Tm 2.80-2.86, 1 Dy 2.82
6 Se 0.0261 0.3457 0.5683 x9  1 Sc 2.72, 2 Tm 2.82-2.87, 1 Dy 2.91

Computed properties:
total energy	-58.70	eV per formula unit
crystal system	trigonal
total moment	0.00	μB per formula unit
formation energy from raw total energies	-1.791	eV/atom

=====

[10]
Compound: TbMnBe
Source: the Alexandria database
Functional: PBE
Structure: optimized geometry

Cell: 4.9713 4.9713 38.6993 Å, 90.00 90.00 120.00°
Closest atoms and distances in Å follow each position.
Space group R-3m (No. 166, hexagonal axes)
Symmetry-distinct sites (fractional):
1 Tb 0.0000 0.0000 0.0403 x6  9 Be 2.93-2.95, 3 Mn 3.08, 4 Tb 3.09-3.12
2 Tb 0.0000 0.0000 0.1815 x6  3 Be 2.93, 9 Mn 2.96-3.11, 4 Tb 3.09-3.16
3 Tb 0.0000 0.0000 0.2632 x6  6 Be 2.91-3.07, 6 Mn 2.93, 4 Tb 3.09-3.16
4 Mn 0.0042 0.5021 0.2229 x18  4 Mn 2.45-2.52, 2 Be 2.49-2.60
5 Be 0.0000 0.0000 0.3907 x6  3 Mn 2.49, 3 Be 2.64
6 Be 0.0000 0.0000 0.5000 x3  6 Mn 2.60
7 Be 0.0000 0.5000 0.0000 x9  6 Be 2.49-2.64

Computed properties:
total energy	-17.20	eV per formula unit
crystal system	trigonal
total moment	0.00	μB per formula unit

=====

[11]
Compound: TiInAu
Source: the Alexandria database
Functional: PBE
Structure: optimized geometry

Cell: 4.2231 4.1151 6.8298 Å, 90.00 108.10 90.00°
Closest atoms and distances in Å follow each position.
Space group P2/m (No. 10)
Symmetry-distinct sites (fractional):
1 Ti 0.0000 0.0000 0.0000 x1  4 Au 2.89-2.90, 4 Ti 2.95, 4 In 2.96
2 Ti 0.5000 0.5000 0.0000 x1  4 Au 2.86, 4 Ti 2.95, 4 In 3.00
3 In 0.1648 0.5000 0.3283 x2  6 Au 2.95-3.15, 4 Ti 2.96-3.00, 2 In 3.06-3.08
4 Au 0.3464 0.0000 0.6948 x2  4 Ti 2.86-2.90, 6 In 2.95-3.15

Computed properties:
total energy	-14.69	eV per formula unit
crystal system	monoclinic
total moment	0.00	μB per formula unit

=====

- Which of these has the highest total moment?
  CrMoPb2

=====

- Look up the total moment of the seventh one.
  0.00 μB per formula unit

=====

Please write out number 4 again, unchanged.
Compound: La2YRu
Source: the Alexandria database
Functional: PBE
Structure: optimized geometry

Cell: 3.9405 3.9405 28.4396 Å, 90.00 90.00 120.00°
Closest atoms and distances in Å follow each position.
Space group R-3m (No. 166, hexagonal axes)
Symmetry-distinct sites (fractional):
1 La 0.0000 0.0000 0.2245 x6  3 Ru 2.81
2 Y 0.0000 0.0000 0.0000 x3  6 La 3.84, 6 Y 3.94
3 Ru 0.0000 0.0000 0.5000 x3  6 La 2.81

Computed properties:
total energy	-25.69	eV per formula unit
crystal system	trigonal
total moment	0.09	μB per formula unit

=====

Please write out number 2 again, unchanged.
Compound: Zr2MnAs
Source: the Alexandria database
Functional: PBE
Structure: optimized geometry

Cell: 3.9048 3.9048 9.5990 Å, 90.00 90.00 90.00°
Closest atoms and distances in Å follow each position.
Space group I-4m2 (No. 119)
Symmetry-distinct sites (fractional):
1 Zr 0.0000 0.0000 0.0000 x2  4 Mn 2.76
2 Zr 0.0000 0.5000 0.2500 x2  4 As 2.76
3 Mn 0.0000 0.0000 0.5000 x2  4 Zr 2.76
4 As 0.0000 0.5000 0.7500 x2  4 Zr 2.76

Computed properties:
total energy	-32.27	eV per formula unit
crystal system	tetragonal
total moment	1.84	μB per formula unit